Version one
VASP calculation (PBE-GGA) on SnPt2F after structural relaxation.

* space group: Fm-3m (225)
* total magnetic moment: 0.0 μB per cell

a = 6.3234 Å, b = 6.3234 Å, c = 6.3234 Å
α = 90.00°, β = 90.00°, γ = 90.00°
Last column: nearest neighbours and their distance in Å.
Positions (direct):
Sn (0.0000, 0.0000, 0.0000)  8 Pt 2.74
Sn (0.0000, 0.5000, 0.5000)  8 Pt 2.74
Sn (0.5000, 0.0000, 0.5000)  8 Pt 2.74
Sn (0.5000, 0.5000, 0.0000)  8 Pt 2.74
Pt (0.2500, 0.2500, 0.2500)  4 F 2.74, 4 Sn 2.74
Pt (0.2500, 0.2500, 0.7500)  4 F 2.74, 4 Sn 2.74
Pt (0.2500, 0.7500, 0.2500)  4 F 2.74, 4 Sn 2.74
Pt (0.2500, 0.7500, 0.7500)  4 F 2.74, 4 Sn 2.74
Pt (0.7500, 0.2500, 0.2500)  4 F 2.74, 4 Sn 2.74
Pt (0.7500, 0.2500, 0.7500)  4 F 2.74, 4 Sn 2.74
Pt (0.7500, 0.7500, 0.2500)  4 F 2.74, 4 Sn 2.74
Pt (0.7500, 0.7500, 0.7500)  4 Sn 2.74, 4 F 2.74
F (0.0000, 0.0000, 0.5000)  8 Pt 2.74
F (0.0000, 0.5000, 0.0000)  8 Pt 2.74
F (0.5000, 0.0000, 0.0000)  8 Pt 2.74
F (0.5000, 0.5000, 0.5000)  8 Pt 2.74

---

Version two
VASP calculation (PBE-GGA) on SnPt2F after structural relaxation.

* space group: I-42d (122)
* total magnetic moment: 0.0 μB per cell

a = 7.0676 Å, b = 7.0676 Å, c = 5.4003 Å
α = 90.00°, β = 90.00°, γ = 90.00°
Last column: nearest neighbours and their distance in Å.
Positions (direct):
Sn (0.0000, 0.0000, 0.0000)  4 Pt 2.65, 2 F 2.70
Sn (0.0000, 0.5000, 0.2500)  4 Pt 2.65, 2 F 2.70
Sn (0.5000, 0.0000, 0.7500)  4 Pt 2.65, 2 F 2.70
Sn (0.5000, 0.5000, 0.5000)  4 Pt 2.65, 2 F 2.70
Pt (0.2374, 0.2500, 0.6250)  2 F 2.53, 2 Sn 2.65, 2 Pt 2.71
Pt (0.2500, 0.7374, 0.8750)  2 F 2.53, 2 Sn 2.65, 2 Pt 2.71
Pt (0.2500, 0.7626, 0.3750)  2 F 2.53, 2 Sn 2.65, 2 Pt 2.71
Pt (0.2626, 0.2500, 0.1250)  2 F 2.53, 2 Sn 2.65, 2 Pt 2.71
Pt (0.7374, 0.7500, 0.1250)  2 F 2.53, 2 Sn 2.65, 2 Pt 2.71
Pt (0.7500, 0.2374, 0.3750)  2 F 2.53, 2 Sn 2.65, 2 Pt 2.71
Pt (0.7500, 0.2626, 0.8750)  2 F 2.53, 2 Sn 2.65, 2 Pt 2.71
Pt (0.7626, 0.7500, 0.6250)  2 F 2.53, 2 Sn 2.65, 2 Pt 2.71
F (0.0000, 0.0000, 0.5000)  4 Pt 2.53, 2 Sn 2.70
F (0.0000, 0.5000, 0.7500)  4 Pt 2.53, 2 Sn 2.70
F (0.5000, 0.0000, 0.2500)  4 Pt 2.53, 2 Sn 2.70
F (0.5000, 0.5000, 0.0000)  4 Pt 2.53, 2 Sn 2.70

---

What are the relative energies? In eV/atom: version one 0.000; version two 0.055.